[1]
The following is a DFT calculation (PBE) of an optimized crystal structure of KCr2Co.

```
data_KCr2Co
_chemical_formula_sum 'K3 Cr6 Co3'
_symmetry_space_group_name_H-M 'R -3 m'
_symmetry_Int_Tables_number 166
_symmetry_space_group_name_Hall '-R 3 2"'
_cell_length_a 2.6315
_cell_length_b 2.6315
_cell_length_c 29.9905
_cell_angle_alpha 90.00
_cell_angle_beta 90.00
_cell_angle_gamma 120.00
loop_
_atom_site_label
_atom_site_type_symbol
_atom_site_fract_x
_atom_site_fract_y
_atom_site_fract_z
_atom_site_occupancy
K1 K 0.0000 0.0000 0.0000 1
Cr1 Cr 0.0000 0.0000 0.2317 1
Co1 Co 0.0000 0.0000 0.5000 1
```

## Properties
Crystal system   trigonal
Formation enthalpy at 0 K   1.10 eV/atom
VASP energy   -5.77 eV per atom
ρ   5596 kg/m3
Volume   15.0 Å³ per atom
Relative energy among the computed polymorphs   32.8 kJ/mol of atoms

=====

[2]
The following is a DFT calculation (PBE) of an optimized crystal structure of K4Na3Bi2.

```
data_K4Na3Bi2
_chemical_formula_sum 'K8 Na6 Bi4'
_symmetry_space_group_name_H-M 'C 1 2/m 1'
_symmetry_Int_Tables_number 12
_cell_length_a 20.352
_cell_length_b 5.545
_cell_length_c 7.564
_cell_angle_alpha 90.00
_cell_angle_beta 105.12
_cell_angle_gamma 90.00
loop_
_symmetry_equiv_pos_as_xyz
'x,y,z'
'-x,-y,-z'
'-x,y,-z'
'x,-y,z'
'x+1/2,y+1/2,z'
'-x+1/2,-y+1/2,-z'
'-x+1/2,y+1/2,-z'
'x+1/2,-y+1/2,z'
loop_
_atom_site_label
_atom_site_type_symbol
_atom_site_fract_x
_atom_site_fract_y
_atom_site_fract_z
_atom_site_occupancy
K1 K 0.071 0.000 0.347 1
K2 K 0.220 0.500 0.174 1
Na1 Na 0.000 0.500 0.000 1
Na2 Na 0.107 0.500 0.709 1
Bi1 Bi 0.107 0.000 0.897 1
```

## Properties
Crystal system   monoclinic
Formation enthalpy at 0 K   -0.26 eV/atom
VASP energy   -2.05 eV per atom
ρ   2593 kg/m3
Volume   45.8 Å³ per atom

=====

[3]
The following is a DFT calculation (PBE) of an optimized crystal structure of Hf5ZrIn3.

```
data_Hf5ZrIn3
_chemical_formula_sum 'Hf20 Zr4 In12'
_symmetry_space_group_name_H-M 'I 4/m c m'
_symmetry_Int_Tables_number 140
_symmetry_space_group_name_Hall '-I 4 2c'
_cell_length_a 7.352
_cell_length_b 7.352
_cell_length_c 15.276
_cell_angle_alpha 90.00
_cell_angle_beta 90.00
_cell_angle_gamma 90.00
loop_
_atom_site_label
_atom_site_type_symbol
_atom_site_fract_x
_atom_site_fract_y
_atom_site_fract_z
_atom_site_occupancy
Hf1 Hf 0.000 0.000 0.000 1
Hf2 Hf 0.212 0.288 0.140 1
Zr1 Zr 0.000 0.500 0.250 1
In1 In 0.000 0.000 0.250 1
In2 In 0.123 0.377 0.500 1
```

## Properties
Crystal system   tetragonal
Formation enthalpy at 0 K   0.28 eV/atom
VASP energy   -7.11 eV per atom
ρ   10685 kg/m3
Volume   22.9 Å³ per atom
Relative energy among the computed polymorphs   39.5 kJ/mol of atoms

=====

- Look up the volume of the first one.
  15.0 Å³ per atom

=====

- Among the records above, which one has the lowest formation enthalpy at 0 K?
  K4Na3Bi2

=====

- Which of these has the highest volume?
  K4Na3Bi2